Here is crystalline SrMnBr2 at its relaxed geometry from Alexandria. Energies are from PBE.

## Properties
**Symmetry**: I-4m2
**M_tot**: 1.210 μB/atom
**ΔE_f (raw)**: -591.4 meV/atom
**Density**: 4.25 g/cm³
**Energy above the most stable polymorph in this dataset**: 138 meV/atom

Cell: 6.7724 6.7724 6.7724 Å, 141.75 141.75 55.21°
With the nearest neighbours (Å) after each atom.
Element x y z (fractional)
1 Mn 0.5000 0.5000 0.0000  4 Br 3.14
2 Br 0.2500 0.7500 0.5000  4 Sr 3.14
3 Sr 0.7500 0.2500 0.5000  4 Br 3.14
4 Br 0.0000 0.0000 0.0000  4 Mn 3.14